First-principles (PBE) data for a relaxed structure of Ce2AlO5, as listed in Alexandria.

abc: 9.440 7.176 6.902
angles: 90.00 99.52 90.00
Fractional coordinates of all 32 atoms:
Ce 0.022 0.119 0.244
Ce 0.022 0.381 0.744
Ce 0.358 0.148 0.998
Ce 0.358 0.352 0.498
Ce 0.642 0.648 0.502
Ce 0.642 0.852 0.002
Ce 0.978 0.619 0.256
Ce 0.978 0.881 0.756
Al 0.298 0.599 0.992
Al 0.298 0.901 0.492
Al 0.702 0.099 0.508
Al 0.702 0.401 0.008
O 0.104 0.118 0.923
O 0.104 0.382 0.423
O 0.106 0.647 0.966
O 0.106 0.853 0.466
O 0.279 0.073 0.295
O 0.279 0.427 0.795
O 0.352 0.070 0.677
O 0.352 0.430 0.177
O 0.402 0.697 0.496
O 0.402 0.803 0.996
O 0.598 0.197 0.004
O 0.598 0.303 0.504
O 0.648 0.570 0.823
O 0.648 0.930 0.323
O 0.721 0.573 0.205
O 0.721 0.927 0.705
O 0.894 0.147 0.534
O 0.894 0.353 0.034
O 0.896 0.618 0.577
O 0.896 0.882 0.077

formation energy (no corrections)	-3.25	eV/atom
electronic total energy	-8.300	eV/atom
total moment	0.023	μB per atom
space group	P2_1/c, No. 14



First-principles (PBE) data for a relaxed structure of NbNiSb2, as listed in Alexandria.

abc: 6.742 6.742 6.742
angles: 90.00 90.00 90.00
Fractional coordinates of all 16 atoms:
Nb 0.000 0.000 0.000
Nb 0.000 0.500 0.500
Nb 0.500 0.000 0.500
Nb 0.500 0.500 0.000
Ni 0.000 0.000 0.500
Ni 0.000 0.500 0.000
Ni 0.500 0.000 0.000
Ni 0.500 0.500 0.500
Sb 0.250 0.250 0.250
Sb 0.250 0.250 0.750
Sb 0.250 0.750 0.250
Sb 0.250 0.750 0.750
Sb 0.750 0.250 0.250
Sb 0.750 0.250 0.750
Sb 0.750 0.750 0.250
Sb 0.750 0.750 0.750

formation energy (no corrections)	0.20	eV/atom
electronic total energy	-5.824	eV/atom
total moment	0.000	μB per atom
space group	Fm-3m, No. 225